## Tb2Np3S8 (GGA-PBE)

Data for a relaxed Tb2Np3S8 crystal.

Cell and atoms, written as POSCAR:
```
Tb2Np3S8
1.0
4.7107 0.0000 0.0000
0.0000 8.1377 -4.6754
0.0000 -0.7345 8.1392
Tb Np S
2 3 8
direct
0.5000 0.2711 0.5422
0.5000 0.7289 0.4578
0.5000 0.0000 0.0000
0.0000 0.2685 0.0000
0.0000 0.7315 0.0000
0.0000 0.6257 0.2515
0.0000 0.3743 0.7485
0.0000 0.1155 0.2309
0.0000 0.8845 0.7691
0.5000 0.6394 0.7554
0.5000 0.1160 0.7553
0.5000 0.8840 0.2447
0.5000 0.3606 0.2446
```

Magnetization ... 11.00 μB/cell
Fermi-level density of states ... 22.353 states/eV per cell
E_form (uncorrected) ... -1.520 eV/atom
Density ... 7215 kg/m³


## CaTl3N (GGA-PBE)

Data for a relaxed CaTl3N crystal.

Cell and atoms, written as POSCAR:
```
CaTl3N
1.0
5.0864 0.0000 0.0000
0.0000 5.0864 0.0000
0.0000 0.0000 5.0864
Tl Ca N
3 1 1
direct
0.0000 0.5000 0.0000
0.0000 0.0000 0.5000
0.5000 0.0000 0.0000
0.5000 0.5000 0.5000
0.0000 0.0000 0.0000
```

Magnetization ... 0.00 μB/cell
Fermi-level density of states ... 4.121 states/eV per cell
E_form (uncorrected) ... 0.503 eV/atom
Density ... 8420 kg/m³


## ZnAuCl2 (GGA-PBE)

Data for a relaxed ZnAuCl2 crystal.

Cell and atoms, written as POSCAR:
```
ZnAuCl2
1.0
4.0424 -0.0252 0.0000
-2.6032 3.0927 0.0000
0.0000 0.0000 8.8741
Zn Au Cl
1 1 2
direct
0.0000 0.0000 0.5096
0.5000 0.5000 0.7270
0.0000 0.0000 0.9325
0.5000 0.5000 0.3310
```

Magnetization ... 0.00 μB/cell
Fermi-level density of states ... 0.927 states/eV per cell
E_form (uncorrected) ... -0.356 eV/atom
Density ... 5015 kg/m³


## Tb3AgAu2 (GGA-PBE)

Data for a relaxed Tb3AgAu2 crystal.

Cell and atoms, written as POSCAR:
```
Tb3AgAu2
1.0
-4.0500 1.1867 -2.8996
1.9766 -4.7204 -0.1716
-7.7110 -3.5673 9.3105
Tb Ag Au
6 2 4
direct
0.3333 0.6667 0.4178
0.6667 0.3333 0.0797
0.0000 0.0000 0.7528
0.0000 0.0000 0.2472
0.3333 0.6667 0.9203
0.6667 0.3333 0.5822
0.3333 0.6667 0.6698
0.6667 0.3333 0.3302
0.0000 0.0000 0.5000
0.3333 0.6667 0.1748
0.6667 0.3333 0.8252
0.0000 0.0000 0.0000
```

Magnetization ... 0.00 μB/cell
Formation energy from the elements ... -15.645 kcal/mol of atoms
Fermi-level density of states ... 6.181 states/eV per cell
Density ... 11356 kg/m³


## NaSrPS2 (GGA-PBE)

Data for a relaxed NaSrPS2 crystal.

Cell and atoms, written as POSCAR:
```
NaSrPS2
1.0
-0.1665 5.0237 0.4308
-3.8272 -0.4065 3.2617
3.1359 -0.2094 3.6535
Sr S Na P
1 2 1 1
direct
0.5000 0.5000 0.5000
0.0000 0.5000 0.0000
0.5000 0.0000 0.0000
0.0000 0.0000 0.0000
0.0000 0.0000 0.5000
```

Magnetization ... 0.00 μB/cell
Fermi-level density of states ... 4.816 states/eV per cell
E_form (uncorrected) ... -0.058 eV/atom
Density ... 2785 kg/m³


## Na3Tb2PaSe6 (GGA-PBE)

Data for a relaxed Na3Tb2PaSe6 crystal.

Cell and atoms, written as POSCAR:
```
Na3Tb2PaSe6
1.0
-0.0635 3.1892 6.4281
-3.9228 -5.9047 -1.1144
6.7703 -3.0946 0.2669
Na Tb Pa Se
3 2 1 6
direct
0.1678 0.8322 0.5000
0.8322 0.1678 0.5000
0.5000 0.5000 0.5000
0.3335 0.6665 0.0000
0.6665 0.3335 0.0000
0.0000 0.0000 0.0000
0.9221 0.5904 0.7663
0.7463 0.7463 0.2335
0.0779 0.4096 0.2337
0.5904 0.9221 0.7663
0.2537 0.2537 0.7665
0.4096 0.0779 0.2337
```

Magnetization ... 1.76 μB/cell
Fermi-level density of states ... 7.064 states/eV per cell
E_form (uncorrected) ... -1.538 eV/atom
Density ... 5762 kg/m³


## TlAsRh (GGA-PBE)

Data for a relaxed TlAsRh crystal.

Cell and atoms, written as POSCAR:
```
TlAsRh
1.0
-3.0552 2.7335 0.7496
0.6836 -0.3591 4.0953
5.2024 5.9107 -0.3501
As Tl Rh
2 2 2
direct
0.5000 0.0000 0.6683
0.0000 0.5000 0.3317
0.5000 0.0000 0.1452
0.0000 0.5000 0.8548
0.5000 0.5000 0.5000
0.0000 0.0000 0.5000
```

Magnetization ... 0.00 μB/cell
Formation energy from the elements ... -6.737 kcal/mol of atoms
Fermi-level density of states ... 4.430 states/eV per cell
Density ... 9273 kg/m³


## Pm3Zn2GaNi9 (GGA-PBE)

Data for a relaxed Pm3Zn2GaNi9 crystal.

Cell and atoms, written as POSCAR:
```
Pm3Zn2GaNi9
1.0
-1.9640 1.1251 4.7029
-3.1111 -0.0202 -4.1906
-2.2068 -10.9209 1.6910
Pm Zn Ga Ni
3 2 1 9
direct
0.3333 0.6667 0.7524
0.0000 0.0000 0.0000
0.6667 0.3333 0.2476
0.3333 0.6667 0.1693
0.6667 0.3333 0.8307
0.0000 0.0000 0.5000
0.8255 0.1745 0.6551
0.8255 0.6511 0.6551
0.3489 0.1745 0.6551
0.6511 0.8255 0.3449
0.1745 0.3489 0.3449
0.1745 0.8255 0.3449
0.5000 0.0000 0.0000
0.0000 0.5000 0.0000
0.5000 0.5000 0.0000
```

Magnetization ... 0.00 μB/cell
Formation energy from the elements ... -2.107 kcal/mol of atoms
Fermi-level density of states ... 7.327 states/eV per cell
Density ... 7269 kg/m³


> Which of these has the lowest Fermi-level density of states?

ZnAuCl2